(1)
A geometry-optimized Ag2SbAs structure, computed with PBE.

```
data_Ag2SbAs
_cell_length_a 7.7398
_cell_length_b 7.7398
_cell_length_c 5.8125
_cell_angle_alpha 90.00
_cell_angle_beta 90.00
_cell_angle_gamma 90.00
_space_group_name_H-M_alt 'I -4 2 d'
_space_group_IT_number 122
_space_group_name_Hall 'I -4 2bw'
loop_
_atom_site_label
_atom_site_type_symbol
_atom_site_fract_x
_atom_site_fract_y
_atom_site_fract_z
Ag1 Ag 0.2318 0.2500 0.1250
Sb1 Sb 0.0000 0.0000 0.5000
As1 As 0.0000 0.0000 0.0000
```

Output
Relative energy among the computed polymorphs: 47.8 kJ/mol of formula units
Spin magnetization: 0.00 μB/cell
Crystal system: tetragonal
Uncorrected formation energy: 0.2540 eV per atom
Mass density: 7867 kg/m³


(2)
A geometry-optimized AgSb2As structure, computed with PBE.

```
data_AgSb2As
_cell_length_a 7.1813
_cell_length_b 7.1813
_cell_length_c 7.1813
_cell_angle_alpha 90.00
_cell_angle_beta 90.00
_cell_angle_gamma 90.00
_space_group_name_H-M_alt 'F m -3 m'
_space_group_IT_number 225
_space_group_name_Hall '-F 4 2 3'
loop_
_atom_site_label
_atom_site_type_symbol
_atom_site_fract_x
_atom_site_fract_y
_atom_site_fract_z
Ag1 Ag 0.0000 0.0000 0.0000
Sb1 Sb 0.2500 0.2500 0.2500
As1 As 0.0000 0.0000 0.5000
```

Output
Relative energy among the computed polymorphs: 77.7 kJ/mol of formula units
Spin magnetization: 0.00 μB/cell
Crystal system: cubic
Uncorrected formation energy: 0.3010 eV per atom
Mass density: 7646 kg/m³


(3)
A geometry-optimized Ag2SbAs structure, computed with PBE.

```
data_Ag2SbAs
_cell_length_a 3.1411
_cell_length_b 4.2582
_cell_length_c 6.2523
_cell_angle_alpha 90.00
_cell_angle_beta 90.00
_cell_angle_gamma 90.00
_space_group_name_H-M_alt 'P m m m'
_space_group_IT_number 47
loop_
_space_group_symop_operation_xyz
'x,y,z'
'-x,-y,-z'
'-x,-y,z'
'x,y,-z'
'x,-y,-z'
'-x,y,z'
'-x,y,-z'
'x,-y,z'
loop_
_atom_site_label
_atom_site_type_symbol
_atom_site_fract_x
_atom_site_fract_y
_atom_site_fract_z
Ag1 Ag 0.0000 0.0000 0.2345
Sb1 Sb 0.5000 0.5000 0.5000
As1 As 0.5000 0.5000 0.0000
```

Output
Relative energy among the computed polymorphs: 22.7 kJ/mol of formula units
Spin magnetization: 0.00 μB/cell
Crystal system: orthorhombic
Uncorrected formation energy: 0.1890 eV per atom
Mass density: 8189 kg/m³


(4)
A geometry-optimized AgSbAs2 structure, computed with PBE.

```
data_AgSbAs2
_cell_length_a 4.4046
_cell_length_b 4.4046
_cell_length_c 8.8857
_cell_angle_alpha 90.00
_cell_angle_beta 90.00
_cell_angle_gamma 90.00
_space_group_name_H-M_alt 'I 4/m m m'
_space_group_IT_number 139
_space_group_name_Hall '-I 4 2'
loop_
_atom_site_label
_atom_site_type_symbol
_atom_site_fract_x
_atom_site_fract_y
_atom_site_fract_z
Ag1 Ag 0.0000 0.0000 0.0000
Sb1 Sb 0.0000 0.0000 0.5000
As1 As 0.0000 0.5000 0.2500
```

Output
Relative energy among the computed polymorphs: 98.4 kJ/mol of formula units
Spin magnetization: 0.00 μB/cell
Crystal system: tetragonal
Uncorrected formation energy: 0.3787 eV per atom
Mass density: 7311 kg/m³


(5)
A geometry-optimized AgSb2As structure, computed with PBE.

```
data_AgSb2As
_cell_length_a 3.0297
_cell_length_b 3.9864
_cell_length_c 8.0111
_cell_angle_alpha 90.00
_cell_angle_beta 90.00
_cell_angle_gamma 90.00
_space_group_name_H-M_alt 'P m m m'
_space_group_IT_number 47
loop_
_space_group_symop_operation_xyz
'x,y,z'
'-x,-y,-z'
'-x,-y,z'
'x,y,-z'
'x,-y,-z'
'-x,y,z'
'-x,y,-z'
'x,-y,z'
loop_
_atom_site_label
_atom_site_type_symbol
_atom_site_fract_x
_atom_site_fract_y
_atom_site_fract_z
Ag1 Ag 0.0000 0.0000 0.0000
Sb1 Sb 0.5000 0.5000 0.2387
As1 As 0.5000 0.0000 0.5000
```

Output
Relative energy among the computed polymorphs: 17.4 kJ/mol of formula units
Spin magnetization: 0.00 μB/cell
Crystal system: orthorhombic
Uncorrected formation energy: 0.1447 eV per atom
Mass density: 7317 kg/m³


(6)
A geometry-optimized AgSbAs2 structure, computed with PBE.

```
data_AgSbAs2
_cell_length_a 6.1118
_cell_length_b 10.6227
_cell_length_c 3.0117
_cell_angle_alpha 90.00
_cell_angle_beta 119.29
_cell_angle_gamma 90.00
_space_group_name_H-M_alt 'C 1 2/m 1'
_space_group_IT_number 12
loop_
_space_group_symop_operation_xyz
'x,y,z'
'-x,-y,-z'
'-x,y,-z'
'x,-y,z'
'x+1/2,y+1/2,z'
'-x+1/2,-y+1/2,-z'
'-x+1/2,y+1/2,-z'
'x+1/2,-y+1/2,z'
loop_
_atom_site_label
_atom_site_type_symbol
_atom_site_fract_x
_atom_site_fract_y
_atom_site_fract_z
Ag1 Ag 0.0000 0.0000 0.0000
Sb1 Sb 0.0000 0.5000 0.0000
As1 As 0.2500 0.2500 0.0000
```

Output
Relative energy among the computed polymorphs: 81.3 kJ/mol of formula units
Spin magnetization: 0.00 μB/cell
Crystal system: monoclinic
Uncorrected formation energy: 0.3344 eV per atom
Mass density: 7390 kg/m³


(7)
A geometry-optimized AgSbAs2 structure, computed with PBE.

```
data_AgSbAs2
_cell_length_a 2.9647
_cell_length_b 5.2691
_cell_length_c 5.4393
_cell_angle_alpha 90.00
_cell_angle_beta 90.00
_cell_angle_gamma 90.00
_space_group_name_H-M_alt 'P m m m'
_space_group_IT_number 47
loop_
_space_group_symop_operation_xyz
'x,y,z'
'-x,-y,-z'
'-x,-y,z'
'x,y,-z'
'x,-y,-z'
'-x,y,z'
'-x,y,-z'
'x,-y,z'
loop_
_atom_site_label
_atom_site_type_symbol
_atom_site_fract_x
_atom_site_fract_y
_atom_site_fract_z
Ag1 Ag 0.0000 0.0000 0.0000
Sb1 Sb 0.5000 0.5000 0.0000
As1 As 0.0000 0.5000 0.5000
As2 As 0.5000 0.0000 0.5000
```

Output
Relative energy among the computed polymorphs: 83.6 kJ/mol of formula units
Spin magnetization: 0.00 μB/cell
Crystal system: orthorhombic
Uncorrected formation energy: 0.3402 eV per atom
Mass density: 7416 kg/m³


(8)
A geometry-optimized AgSbAs2 structure, computed with PBE.

```
data_AgSbAs2
_cell_length_a 6.9904
_cell_length_b 6.9904
_cell_length_c 6.9904
_cell_angle_alpha 90.00
_cell_angle_beta 90.00
_cell_angle_gamma 90.00
_space_group_name_H-M_alt 'F -4 3 m'
_space_group_IT_number 216
_space_group_name_Hall 'F -4 2 3'
loop_
_atom_site_label
_atom_site_type_symbol
_atom_site_fract_x
_atom_site_fract_y
_atom_site_fract_z
Ag1 Ag 0.0000 0.0000 0.0000
Sb1 Sb 0.2500 0.2500 0.2500
As1 As 0.0000 0.0000 0.5000
As2 As 0.2500 0.2500 0.7500
```

Output
Relative energy among the computed polymorphs: 96.5 kJ/mol of formula units
Spin magnetization: 0.00 μB/cell
Crystal system: cubic
Uncorrected formation energy: 0.3738 eV per atom
Mass density: 7379 kg/m³


(9)
A geometry-optimized AgSbAs structure, computed with PBE.

```
data_AgSbAs
_cell_length_a 2.9924
_cell_length_b 2.9924
_cell_length_c 15.1299
_cell_angle_alpha 90.00
_cell_angle_beta 90.00
_cell_angle_gamma 90.00
_space_group_name_H-M_alt 'I 4 m m'
_space_group_IT_number 107
_space_group_name_Hall 'I 4 -2'
loop_
_atom_site_label
_atom_site_type_symbol
_atom_site_fract_x
_atom_site_fract_y
_atom_site_fract_z
Ag1 Ag 0.0000 0.0000 0.0000
Sb1 Sb 0.0000 0.0000 0.3396
As1 As 0.0000 0.0000 0.6341
```

Output
Relative energy among the computed polymorphs: 36.6 kJ/mol of formula units
Spin magnetization: 0.00 μB/cell
Crystal system: tetragonal
Uncorrected formation energy: 0.2408 eV per atom
Mass density: 7466 kg/m³


(10)
A geometry-optimized AgSb2As structure, computed with PBE.

```
data_AgSb2As
_cell_length_a 3.7800
_cell_length_b 4.2640
_cell_length_c 12.1853
_cell_angle_alpha 90.00
_cell_angle_beta 90.00
_cell_angle_gamma 90.00
_space_group_name_H-M_alt 'I m m 2'
_space_group_IT_number 44
loop_
_space_group_symop_operation_xyz
'x,y,z'
'-x,-y,z'
'-x,y,z'
'x,-y,z'
'x+1/2,y+1/2,z+1/2'
'-x+1/2,-y+1/2,z+1/2'
'-x+1/2,y+1/2,z+1/2'
'x+1/2,-y+1/2,z+1/2'
loop_
_atom_site_label
_atom_site_type_symbol
_atom_site_fract_x
_atom_site_fract_y
_atom_site_fract_z
Ag1 Ag 0.0000 0.0000 0.0000
Sb1 Sb 0.0000 0.0000 0.4314
Sb2 Sb 0.0000 0.5000 0.1705
As1 As 0.0000 0.5000 0.7529
```

Output
Relative energy among the computed polymorphs: 45.3 kJ/mol of formula units
Spin magnetization: 0.00 μB/cell
Crystal system: orthorhombic
Uncorrected formation energy: 0.2170 eV per atom
Mass density: 7209 kg/m³


Which of these has the lowest uncorrected formation energy?
number 5


Among the records above, which one has the highest uncorrected formation energy?
number 4


Look up the relative energy among the computed polymorphs of the eighth one.
96.5 kJ/mol of formula units


What is the formula in the fourth record?
AgSbAs2